1 | Here is a geometry-optimized Pr4Dy3Ho8 structure from Alexandria via LeMat-Bulk. Energies are from PBE.

CIF file:
```
data_Pr4Dy3Ho8
_cell_length_a 6.9639
_cell_length_b 6.9639
_cell_length_c 35.5851
_cell_angle_alpha 90.00
_cell_angle_beta 90.00
_cell_angle_gamma 120.00
_symmetry_space_group_name_H-M 'R -3 m'
_symmetry_Int_Tables_number 166
_symmetry_space_group_name_Hall '-R 3 2"'
loop_
_atom_site_label
_atom_site_type_symbol
_atom_site_fract_x
_atom_site_fract_y
_atom_site_fract_z
_atom_site_occupancy
Pr1 Pr 0.0000 0.0000 0.0000 1
Pr2 Pr 0.0000 0.0000 0.1634 1
Pr3 Pr 0.0000 0.0000 0.5000 1
Dy1 Dy 0.0000 0.5000 0.0000 1
Ho1 Ho 0.0000 0.0000 0.2554 1
Ho2 Ho 0.0018 0.5009 0.2514 1
```

Properties
DOS(E_F) = 22.40 states/eV/f.u.
Total magnetic moment = 0.000 μB/atom


2 | Here is a geometry-optimized Pr4Dy3Ho8 structure from Alexandria via LeMat-Bulk. Energies are from PBE.

CIF file:
```
data_Pr4Dy3Ho8
_cell_length_a 13.437
_cell_length_b 12.857
_cell_length_c 6.768
_cell_angle_alpha 90.00
_cell_angle_beta 120.02
_cell_angle_gamma 90.00
_symmetry_space_group_name_H-M 'C 1 2/m 1'
_symmetry_Int_Tables_number 12
_symmetry_space_group_name_Hall '-C 2y'
loop_
_atom_site_label
_atom_site_type_symbol
_atom_site_fract_x
_atom_site_fract_y
_atom_site_fract_z
_atom_site_occupancy
Pr1 Pr 0.000 0.000 0.000 1
Pr2 Pr 0.000 0.000 0.500 1
Pr3 Pr 0.250 0.250 0.000 1
Dy1 Dy 0.000 0.500 0.000 1
Dy2 Dy 0.250 0.250 0.500 1
Ho1 Ho 0.000 0.256 0.000 1
Ho2 Ho 0.000 0.363 0.500 1
Ho3 Ho 0.229 0.500 0.962 1
Ho4 Ho 0.232 0.500 0.486 1
```

Properties
DOS(E_F) = 30.01 states/eV/f.u.
Total magnetic moment = 0.000 μB/atom


Last place for stability: 2


1 | Here is a geometry-optimized Pr3Dy2Ho4 structure from Alexandria via LeMat-Bulk. Energies are from PBE.

CIF file:
```
data_Pr3Dy2Ho4
_cell_length_a 16.677
_cell_length_b 11.740
_cell_length_c 6.070
_cell_angle_alpha 90.00
_cell_angle_beta 97.87
_cell_angle_gamma 90.00
_symmetry_space_group_name_H-M 'C 1 2/c 1'
_symmetry_Int_Tables_number 15
_symmetry_space_group_name_Hall '-C 2yc'
loop_
_atom_site_label
_atom_site_type_symbol
_atom_site_fract_x
_atom_site_fract_y
_atom_site_fract_z
_atom_site_occupancy
Pr1 Pr 0.000 0.109 0.250 1
Pr2 Pr 0.166 0.391 0.085 1
Dy1 Dy 0.117 0.131 0.811 1
Ho1 Ho 0.050 0.369 0.522 1
Ho2 Ho 0.218 0.131 0.355 1
```

Properties
DOS(E_F) = 14.09 states/eV/f.u.
Total magnetic moment = 0.000 μB/atom


2 | Here is a geometry-optimized Pr3Dy2Ho4 structure from Alexandria via LeMat-Bulk. Energies are from PBE.

CIF file:
```
data_Pr3Dy2Ho4
_cell_length_a 17.261
_cell_length_b 5.626
_cell_length_c 6.675
_cell_angle_alpha 90.00
_cell_angle_beta 112.74
_cell_angle_gamma 90.00
_symmetry_space_group_name_H-M 'C 1 2/m 1'
_symmetry_Int_Tables_number 12
_symmetry_space_group_name_Hall '-C 2y'
loop_
_atom_site_label
_atom_site_type_symbol
_atom_site_fract_x
_atom_site_fract_y
_atom_site_fract_z
_atom_site_occupancy
Pr1 Pr 0.000 0.000 0.000 1
Pr2 Pr 0.139 0.000 0.579 1
Dy1 Dy 0.137 0.500 0.301 1
Ho1 Ho 0.072 0.500 0.758 1
Ho2 Ho 0.221 0.000 0.142 1
```

Properties
DOS(E_F) = 14.81 states/eV/f.u.
Total magnetic moment = 0.000 μB/atom


Last place for stability: 1